A geometry-optimized Al5GaCu structure, computed with PBE.

Properties
Energy of formation from the pure elements: 0.264 eV per atom

```
data_Al5GaCu
_cell_length_a 6.2381
_cell_length_b 6.3240
_cell_length_c 6.7844
_cell_angle_alpha 90.00
_cell_angle_beta 90.00
_cell_angle_gamma 90.00
_symmetry_space_group_name_H-M 'I m m 2'
_symmetry_Int_Tables_number 44
_symmetry_space_group_name_Hall 'I 2 -2'
loop_
_atom_site_label
_atom_site_fract_x
_atom_site_fract_y
_atom_site_fract_z
_atom_site_occupancy
Al1 0.0000 0.0000 0.0000 1
Al2 0.0000 0.2994 0.7448 1
Al3 0.2046 0.5000 0.1229 1
Ga1 0.0000 0.0000 0.3653 1
Cu1 0.0000 0.5000 0.4339 1
```